Here is Cu2AsSe after structural relaxation from Alexandria via LeMat-Bulk. Energies are from PBE.

Geometry as POSCAR:
```
Cu2AsSe
1.0
2.830 0.000 0.000
0.000 3.385 0.000
0.000 0.000 6.865
Cu As Se
2 1 1
direct
0.000 0.000 0.218
0.000 0.000 0.782
0.500 0.500 0.000
0.000 0.500 0.500
```

Calculated values
* energy: -3.946 eV/atom
* formation energy (no corrections): 0.54 eV per formula unit
* calculated volume: 66 Å³ per cell


Here is NaInW3 after structural relaxation from Alexandria via LeMat-Bulk. Energies are from PBE.

Geometry as POSCAR:
```
NaInW3
1.0
4.980 0.000 0.000
0.000 4.980 0.000
0.000 0.000 4.980
Na In W
1 1 3
direct
0.000 0.000 0.000
0.500 0.500 0.500
0.000 0.500 0.500
0.500 0.000 0.500
0.500 0.500 0.000
```

Calculated values
* energy: -5.668 eV/atom
* calculated volume: 124 Å³ per cell
* energy relative to the elements: 2916 meV/atom


Here is ZnWAu after structural relaxation from Alexandria via LeMat-Bulk. Energies are from PBE.

Geometry as POSCAR:
```
ZnWAu
1.0
4.453 0.000 0.000
-2.227 3.857 0.000
0.000 0.000 2.796
Zn W Au
1 1 1
direct
0.000 0.000 0.000
0.333 0.667 0.500
0.667 0.333 0.000
```

Calculated values
* energy: -5.380 eV/atom
* calculated volume: 48 Å³ per cell
* energy relative to the elements: 455 meV/atom


Here is Li2CrW after structural relaxation from Alexandria via LeMat-Bulk. Energies are from PBE.

Geometry as POSCAR:
```
Li2CrW
1.0
-2.135 2.135 3.011
2.135 -2.135 3.011
2.135 2.135 -3.011
Li Cr W
2 1 1
direct
0.000 0.000 0.000
0.750 0.250 0.500
0.250 0.750 0.500
0.500 0.500 0.000
```

Calculated values
* energy: -5.906 eV/atom
* calculated volume: 55 Å³ per cell
* energy relative to the elements: 695 meV/atom


Here is ZrSbRu2 after structural relaxation from Alexandria via LeMat-Bulk. Energies are from PBE.

Geometry as POSCAR:
```
ZrSbRu2
1.0
3.342 0.000 0.000
0.000 3.342 0.000
0.000 0.000 6.289
Zr Sb Ru
1 1 2
direct
0.000 0.000 0.000
0.000 0.000 0.500
0.500 0.500 0.252
0.500 0.500 0.748
```

Calculated values
* energy: -8.105 eV/atom
* formation energy (no corrections): -1.20 eV per formula unit
* calculated volume: 70 Å³ per cell


Here is SiSe3Br after structural relaxation from Alexandria via LeMat-Bulk. Energies are from PBE.

Geometry as POSCAR:
```
SiSe3Br
1.0
5.473 0.000 0.000
0.000 6.406 0.000
-2.683 0.000 7.849
Si Se Br
2 6 2
direct
0.000 0.000 0.000
0.000 0.500 0.000
0.121 0.250 0.246
0.176 0.250 0.842
0.331 0.750 0.157
0.669 0.250 0.843
0.824 0.750 0.158
0.879 0.750 0.754
0.358 0.750 0.710
0.642 0.250 0.290
```

Calculated values
* energy: -3.636 eV/atom
* formation energy (no corrections): -0.63 eV per formula unit
* calculated volume: 275 Å³ per cell


> Which of these has the highest calculated volume?

SiSe3Br


> Number 1 is which compound?

Cu2AsSe


> Among the records above, which one has the highest calculated volume?

SiSe3Br